## one
A PBEsol-optimized structure of Ta5Mo3. Source: Alexandria, functional SCAN.

Cell: 5.331 5.346 5.346 Å, 96.11 117.57 94.20°
Element x y z (fractional)
Ta1 0.000 0.500 0.500
Ta2 0.740 0.992 0.257
Ta3 0.260 0.008 0.743
Ta4 0.868 0.245 0.877
Ta5 0.132 0.755 0.123
Mo1 0.500 0.500 0.000
Mo2 0.375 0.256 0.371
Mo3 0.625 0.744 0.629

Computed properties:
Crystal system   triclinic
Space group   P-1, No. 2


## two
A PBEsol-optimized structure of Ta5Mo3. Source: Alexandria, functional SCAN.

Cell: 2.818 5.327 9.414 Å, 105.00 95.97 99.29°
Element x y z (fractional)
Ta1 0.629 0.629 0.258
Ta2 0.240 0.751 0.997
Ta3 0.129 0.129 0.258
Ta4 0.371 0.371 0.742
Ta5 0.756 0.246 0.997
Mo1 0.504 0.999 0.503
Mo2 0.999 0.504 0.503
Mo3 0.872 0.872 0.743

Computed properties:
Crystal system   monoclinic
Space group   C2, No. 5


Which one sits at the top of the stability order? one does.


## one
A PBEsol-optimized structure of Ta2AgW. Source: Alexandria, functional SCAN.

Cell: 2.758 2.758 9.236 Å, 90.00 90.00 106.91°
Element x y z (fractional)
W1 0.000 0.000 0.503
Ta1 0.000 0.000 0.999
Ta2 0.500 0.500 0.745
Ag1 0.500 0.500 0.253

Computed properties:
Crystal system   orthorhombic
Space group   Cmm2, No. 35


## two
A PBEsol-optimized structure of Ta2AgW. Source: Alexandria, functional SCAN.

Cell: 2.756 4.933 5.207 Å, 95.93 90.00 106.22°
Element x y z (fractional)
Ag1 0.500 0.000 0.000
W1 0.000 0.000 0.500
Ta1 0.755 0.509 0.748
Ta2 0.245 0.491 0.252

Computed properties:
Crystal system   monoclinic
Space group   C2/m, No. 12


Which one sits at the top of the stability order? one does.


## one
A PBEsol-optimized structure of ZnSi2Tc. Source: Alexandria, functional SCAN.

Cell: 3.097 4.317 4.664 Å, 111.20 109.39 90.00°
Element x y z (fractional)
Zn1 0.758 0.194 0.516
Si1 0.233 0.647 0.465
Si2 0.003 0.055 0.006
Tc1 0.507 0.604 0.014

Computed properties:
Crystal system   monoclinic
Space group   Cm, No. 8


## two
A PBEsol-optimized structure of ZnSi2Tc. Source: Alexandria, functional SCAN.

Cell: 3.790 3.790 4.537 Å, 114.69 114.69 90.00°
Element x y z (fractional)
Si1 0.750 0.250 0.500
Si2 0.250 0.750 0.500
Tc1 0.500 0.500 0.000
Zn1 0.000 0.000 0.000

Computed properties:
Crystal system   tetragonal
Space group   I4/mmm, No. 139


Which one sits at the top of the stability order? one does.


## one
A PBEsol-optimized structure of ZrSc2Cd. Source: Alexandria, functional SCAN.

Cell: 3.172 3.172 10.415 Å, 81.24 81.24 60.00°
Each line ends with the local moment (μB).
Element x y z (fractional)
Sc1 0.752 0.752 0.744  0.04
Sc2 0.998 0.998 0.006  0.34
Zr1 0.500 0.500 0.500  -0.16
Cd1 0.250 0.250 0.250  0.00

Computed properties:
Crystal system   trigonal
Space group   R3m, No. 160


## two
A PBEsol-optimized structure of ZrSc2Cd. Source: Alexandria, functional SCAN.

Cell: 3.177 3.177 8.719 Å, 90.00 90.00 90.00°
Each line ends with the local moment (μB).
Element x y z (fractional)
Cd1 0.500 0.500 0.751  0.01
Sc1 0.500 0.500 0.258  0.07
Sc2 0.000 0.000 0.987  0.30
Zr1 0.000 0.000 0.504  -0.03

Computed properties:
Crystal system   tetragonal
Space group   P4mm, No. 99


Which one sits at the top of the stability order? two does.


## one
A PBEsol-optimized structure of SrMnCd. Source: Alexandria, functional SCAN.

Cell: 4.884 4.884 4.884 Å, 60.00 60.00 60.00°
Each line ends with the local moment (μB).
Element x y z (fractional)
Cd1 0.500 0.500 0.500  -0.09
Mn1 0.250 0.250 0.250  4.13
Sr1 0.000 0.000 0.000  -0.04

Computed properties:
Crystal system   cubic
Space group   F-43m, No. 216


## two
A PBEsol-optimized structure of SrMnCd. Source: Alexandria, functional SCAN.

Cell: 3.640 3.640 6.267 Å, 106.88 106.88 90.00°
Each line ends with the local moment (μB).
Element x y z (fractional)
Sr1 0.333 0.333 0.667  -0.02
Cd1 0.036 0.036 0.073  -0.06
Mn1 0.630 0.630 0.261  4.21

Computed properties:
Crystal system   tetragonal
Space group   I4mm, No. 107


Which one sits at the top of the stability order? two does.


## one
A PBEsol-optimized structure of Y2PSe. Source: Alexandria, functional SCAN.

Cell: 3.991 3.991 5.626 Å, 90.00 90.00 90.00°
Element x y z (fractional)
Y1 0.000 0.000 0.500
Y2 0.500 0.500 0.000
Se1 0.500 0.500 0.500
P1 0.000 0.000 0.000

Computed properties:
Crystal system   tetragonal
Space group   P4/mmm, No. 123


## two
A PBEsol-optimized structure of Y2PSe. Source: Alexandria, functional SCAN.

Cell: 4.906 4.906 4.906 Å, 60.00 60.00 60.00°
Each line ends with the local moment (μB).
Element x y z (fractional)
P1 0.000 0.000 0.000  0.02
Se1 0.500 0.500 0.500  0.01
Y1 0.750 0.750 0.750  -0.25
Y2 0.250 0.250 0.250  -0.25

Computed properties:
Crystal system   cubic
Space group   Fm-3m, No. 225


Which one sits at the top of the stability order? one does.


## one
A PBEsol-optimized structure of AgSb2Br. Source: Alexandria, functional SCAN.

Cell: 4.091 4.091 7.859 Å, 74.92 74.92 60.00°
Element x y z (fractional)
Br1 0.230 0.230 0.309
Sb1 0.013 0.013 0.962
Sb2 0.754 0.754 0.738
Ag1 0.503 0.503 0.491

Computed properties:
Crystal system   trigonal
Space group   R3m, No. 160


## two
A PBEsol-optimized structure of AgSb2Br. Source: Alexandria, functional SCAN.

Cell: 4.387 4.800 5.136 Å, 90.00 101.75 90.00°
Element x y z (fractional)
Sb1 0.701 0.000 0.806
Sb2 0.299 0.000 0.194
Ag1 0.500 0.500 0.000
Br1 0.000 0.500 0.500

Computed properties:
Crystal system   monoclinic
Space group   P2/m, No. 10


Which one sits at the top of the stability order? one does.


## one
A PBEsol-optimized structure of LiVOF3. Source: Alexandria, functional SCAN.

Cell: 5.030 6.981 7.943 Å, 90.00 90.00 90.00°
Each line ends with the local moment (μB).
Element x y z (fractional)
F1 0.706 0.594 0.438  0.02
F2 0.294 0.406 0.938  0.02
F3 0.847 0.250 0.008  0.00
F4 0.706 0.906 0.938  0.02
F5 0.682 0.573 0.108  0.01
F6 0.318 0.427 0.608  0.01
F7 0.682 0.927 0.608  0.01
F8 0.153 0.750 0.508  0.00
F9 0.318 0.073 0.108  0.01
F10 0.153 0.750 0.008  0.00
F11 0.847 0.250 0.508  0.00
F12 0.294 0.094 0.438  0.02
V1 0.041 0.489 0.458  1.05
V2 0.041 0.011 0.958  1.05
V3 0.959 0.511 0.958  1.05
V4 0.959 0.989 0.458  1.05
O1 0.850 0.956 0.269  -0.11
O2 0.850 0.544 0.769  -0.11
O3 0.150 0.044 0.769  -0.11
O4 0.150 0.456 0.269  -0.11
Li1 0.541 0.668 0.638  0.00
Li2 0.459 0.168 0.638  0.00
Li3 0.541 0.832 0.138  0.00
Li4 0.459 0.332 0.138  0.00

Computed properties:
Crystal system   orthorhombic
Space group   Pca2_1, No. 29


## two
A PBEsol-optimized structure of LiVOF3. Source: Alexandria, functional SCAN.

Cell: 4.602 5.473 10.001 Å, 90.00 90.00 90.00°
Each line ends with the local moment (μB).
Element x y z (fractional)
F1 0.239 0.710 0.677  0.01
F2 0.191 0.469 0.912  0.02
F3 0.298 0.968 0.913  0.02
F4 0.239 0.790 0.177  0.01
F5 0.739 0.290 0.323  0.01
F6 0.739 0.210 0.823  0.01
F7 0.798 0.032 0.087  0.02
F8 0.691 0.969 0.588  0.02
F9 0.298 0.532 0.413  0.02
F10 0.191 0.031 0.412  0.02
F11 0.691 0.531 0.088  0.02
F12 0.798 0.468 0.587  0.02
Li1 0.991 0.742 0.998  0.00
Li2 0.491 0.242 0.502  0.00
Li3 0.991 0.758 0.498  0.00
Li4 0.491 0.258 0.002  0.00
V1 0.529 0.580 0.260  1.05
V2 0.529 0.920 0.760  1.05
V3 0.029 0.080 0.240  1.05
V4 0.029 0.420 0.740  1.05
O1 0.753 0.790 0.315  -0.11
O2 0.253 0.290 0.185  -0.11
O3 0.753 0.710 0.815  -0.11
O4 0.253 0.210 0.685  -0.11

Computed properties:
Crystal system   orthorhombic
Space group   Pna2_1, No. 33


Which one sits at the top of the stability order? two does.


## one
A PBEsol-optimized structure of CrCo3. Source: Alexandria, functional SCAN.

Cell: 2.428 2.428 6.977 Å, 90.00 90.00 90.00°
Each line ends with the local moment (μB).
Element x y z (fractional)
Co1 0.000 0.000 0.748  1.50
Co2 0.000 0.000 0.252  1.50
Co3 0.500 0.500 0.500  1.84
Cr1 0.500 0.500 0.000  -0.26

Computed properties:
Crystal system   tetragonal
Space group   P4/mmm, No. 123


## two
A PBEsol-optimized structure of CrCo3. Source: Alexandria, functional SCAN.

Cell: 2.431 3.448 4.882 Å, 90.00 90.00 90.00°
Each line ends with the local moment (μB).
Element x y z (fractional)
Co1 0.000 0.000 0.252  1.29
Co2 0.000 0.000 0.748  1.29
Co3 0.500 0.500 0.500  1.71
Cr1 0.500 0.500 0.000  -1.04

Computed properties:
Crystal system   orthorhombic
Space group   Pmmm, No. 47


Which one sits at the top of the stability order? one does.


## one
A PBEsol-optimized structure of TcNi2Pt. Source: Alexandria, functional SCAN.

Cell: 3.610 3.610 4.571 Å, 113.26 113.26 90.00°
Element x y z (fractional)
Pt1 0.000 0.000 0.000
Ni1 0.750 0.250 0.500
Ni2 0.500 0.500 0.000
Tc1 0.250 0.750 0.500

Computed properties:
Crystal system   tetragonal
Space group   I-4m2, No. 119


## two
A PBEsol-optimized structure of TcNi2Pt. Source: Alexandria, functional SCAN.

Cell: 2.635 3.715 5.088 Å, 90.00 90.00 90.00°
Element x y z (fractional)
Tc1 0.500 0.500 0.763
Pt1 0.000 0.000 0.499
Ni1 0.000 0.000 0.002
Ni2 0.500 0.500 0.236

Computed properties:
Crystal system   orthorhombic
Space group   Pmm2, No. 25


Which one sits at the top of the stability order? one does.


## one
A PBEsol-optimized structure of KOsPt2. Source: Alexandria, functional SCAN.

Cell: 4.558 4.558 4.558 Å, 60.00 60.00 60.00°
Each line ends with the local moment (μB).
Element x y z (fractional)
Pt1 0.000 0.000 0.000  0.29
Pt2 0.750 0.750 0.750  0.10
K1 0.500 0.500 0.500  0.01
Os1 0.250 0.250 0.250  1.41

Computed properties:
Crystal system   cubic
Space group   F-43m, No. 216


## two
A PBEsol-optimized structure of KOsPt2. Source: Alexandria, functional SCAN.

Cell: 2.761 2.761 10.285 Å, 82.29 82.29 60.00°
Element x y z (fractional)
K1 0.498 0.498 0.505
Pt1 0.742 0.742 0.775
Pt2 0.998 0.998 0.005
Os1 0.261 0.261 0.216

Computed properties:
Crystal system   trigonal
Space group   R3m, No. 160


Which one sits at the top of the stability order? two does.


## one
A PBEsol-optimized structure of ReRu2Br. Source: Alexandria, functional SCAN.

Cell: 2.829 2.829 8.695 Å, 80.64 80.64 60.00°
Element x y z (fractional)
Ru1 0.252 0.252 0.244
Ru2 0.748 0.748 0.756
Re1 0.000 0.000 0.000
Br1 0.500 0.500 0.500

Computed properties:
Crystal system   trigonal
Space group   R-3m, No. 166


## two
A PBEsol-optimized structure of ReRu2Br. Source: Alexandria, functional SCAN.

Cell: 2.826 2.826 8.678 Å, 80.63 80.63 60.00°
Element x y z (fractional)
Ru1 0.749 0.749 0.754
Ru2 0.000 0.000 0.000
Br1 0.499 0.499 0.503
Re1 0.252 0.252 0.243

Computed properties:
Crystal system   trigonal
Space group   R3m, No. 160


Which one sits at the top of the stability order? one does.